Entry from the Alexandria database: an optimized crystal structure of CrHgO3 (GGA+U).

a = 4.1155 Å, b = 4.1155 Å, c = 4.1155 Å
α = 90.00°, β = 90.00°, γ = 90.00°
Closest atoms and distances in Å follow each position.
Fractional coordinates of all 5 atoms:
Cr  0.0000  0.0000  0.0000  12 O 2.91
Hg  0.5000  0.5000  0.5000  6 O 2.06
O  0.0000  0.5000  0.5000  2 Hg 2.06
O  0.5000  0.0000  0.5000  2 Hg 2.06
O  0.5000  0.5000  0.0000  2 Hg 2.06

Output
For the total magnetic moment, the calculation gives 3.8 μB per cell. For the calculated total energy, the calculation gives -20.8 eV per cell.